Entry 1:
TiCrH4 | PBE | relaxed

Structure (CIF):
```
data_TiCrH4
_chemical_formula_sum 'Ti4 Cr4 H16'
_cell_length_a 5.1399
_cell_length_b 7.5660
_cell_length_c 5.0694
_cell_angle_alpha 90.00
_cell_angle_beta 117.10
_cell_angle_gamma 90.00
_space_group_name_H-M_alt 'C 1 2/c 1'
_space_group_IT_number 15
_space_group_name_Hall '-C 2yc'
loop_
_atom_site_label
_atom_site_type_symbol
_atom_site_fract_x
_atom_site_fract_y
_atom_site_fract_z
Ti1 Ti 0.0000 0.1280 0.2500
Cr1 Cr 0.0000 0.4784 0.2500
H1 H 0.0602 0.3418 0.5468
H2 H 0.1553 0.0756 0.6599
```

distance to the lowest polymorph of the same formula	140	meV per atom
DOS at the Fermi energy	7.97	states/eV per cell
total magnetic moment	0.00	μB/f.u.
density	3.93	Mg/m³

Entry 2:
TiCrH2 | PBE | relaxed

Structure (CIF):
```
data_TiCrH2
_chemical_formula_sum 'Ti3 Cr3 H6'
_cell_length_a 2.9196
_cell_length_b 2.9196
_cell_length_c 12.7617
_cell_angle_alpha 90.00
_cell_angle_beta 90.00
_cell_angle_gamma 120.00
_space_group_name_H-M_alt 'R -3 m'
_space_group_IT_number 166
_space_group_name_Hall '-R 3 2"'
loop_
_atom_site_label
_atom_site_type_symbol
_atom_site_fract_x
_atom_site_fract_y
_atom_site_fract_z
Ti1 Ti 0.0000 0.0000 0.0000
Cr1 Cr 0.0000 0.0000 0.5000
H1 H 0.0000 0.0000 0.2373
```

distance to the lowest polymorph of the same formula	0	meV per atom
DOS at the Fermi energy	7.29	states/eV per cell
total magnetic moment	0.00	μB/f.u.
density	5.39	Mg/m³

Entry 3:
TiCr3H | PBE | relaxed

Structure (CIF):
```
data_TiCr3H
_chemical_formula_sum 'Ti1 Cr3 H1'
_cell_length_a 4.3046
_cell_length_b 4.3046
_cell_length_c 4.3046
_cell_angle_alpha 90.00
_cell_angle_beta 90.00
_cell_angle_gamma 90.00
_space_group_name_H-M_alt 'P m -3 m'
_space_group_IT_number 221
_space_group_name_Hall '-P 4 2 3'
loop_
_atom_site_label
_atom_site_type_symbol
_atom_site_fract_x
_atom_site_fract_y
_atom_site_fract_z
Ti1 Ti 0.0000 0.0000 0.0000
Cr1 Cr 0.0000 0.0000 0.5000
H1 H 0.5000 0.5000 0.5000
```

distance to the lowest polymorph of the same formula	2041	meV per atom
DOS at the Fermi energy	9.83	states/eV per cell
total magnetic moment	1.65	μB/f.u.
density	4.26	Mg/m³

Entry 4:
TiCrH2 | PBE | relaxed

Structure (CIF):
```
data_TiCrH2
_chemical_formula_sum 'Ti4 Cr4 H8'
_cell_length_a 3.8840
_cell_length_b 3.8840
_cell_length_c 9.1606
_cell_angle_alpha 90.00
_cell_angle_beta 90.00
_cell_angle_gamma 90.00
_space_group_name_H-M_alt 'I -4 2 d'
_space_group_IT_number 122
_space_group_name_Hall 'I -4 2bw'
loop_
_atom_site_label
_atom_site_type_symbol
_atom_site_fract_x
_atom_site_fract_y
_atom_site_fract_z
Ti1 Ti 0.0000 0.0000 0.0000
Cr1 Cr 0.0000 0.0000 0.5000
H1 H 0.2159 0.2500 0.6250
```

distance to the lowest polymorph of the same formula	38	meV per atom
DOS at the Fermi energy	11.25	states/eV per cell
total magnetic moment	0.61	μB/f.u.
density	4.90	Mg/m³

Entry 5:
TiTlCr2H | PBE | relaxed

Structure (CIF):
```
data_TiTlCr2H
_chemical_formula_sum 'Ti1 Tl1 Cr2 H1'
_cell_length_a 5.3398
_cell_length_b 5.3398
_cell_length_c 3.4104
_cell_angle_alpha 90.00
_cell_angle_beta 90.00
_cell_angle_gamma 90.00
_space_group_name_H-M_alt 'P 4/m m m'
_space_group_IT_number 123
_space_group_name_Hall '-P 4 2'
loop_
_atom_site_label
_atom_site_type_symbol
_atom_site_fract_x
_atom_site_fract_y
_atom_site_fract_z
Ti1 Ti 0.0000 0.0000 0.0000
Tl1 Tl 0.5000 0.5000 0.5000
Cr1 Cr 0.0000 0.5000 0.5000
H1 H 0.5000 0.5000 0.0000
```

DOS at the Fermi energy	4.22	states/eV per cell
total magnetic moment	6.54	μB/f.u.
density	6.10	Mg/m³
VASP energy	-0.1926	Ha/atom

Entry 6:
TiVCrH2 | PBE | relaxed

Structure (CIF):
```
data_TiVCrH2
_chemical_formula_sum 'Ti1 V1 Cr1 H2'
_cell_length_a 3.4396
_cell_length_b 3.4396
_cell_length_c 4.5724
_cell_angle_alpha 90.00
_cell_angle_beta 90.00
_cell_angle_gamma 90.00
_space_group_name_H-M_alt 'P 4/m m m'
_space_group_IT_number 123
_space_group_name_Hall '-P 4 2'
loop_
_atom_site_label
_atom_site_type_symbol
_atom_site_fract_x
_atom_site_fract_y
_atom_site_fract_z
Ti1 Ti 0.0000 0.0000 0.0000
V1 V 0.5000 0.5000 0.0000
Cr1 Cr 0.0000 0.0000 0.5000
H1 H 0.0000 0.5000 0.5000
```

distance to the lowest polymorph of the same formula	18	meV per atom
DOS at the Fermi energy	4.87	states/eV per cell
total magnetic moment	0.00	μB/f.u.
density	4.69	Mg/m³

Entry 7:
TiVCrH2 | PBE | relaxed

Structure (CIF):
```
data_TiVCrH2
_chemical_formula_sum 'Ti1 V1 Cr1 H2'
_cell_length_a 3.3961
_cell_length_b 3.3961
_cell_length_c 4.8039
_cell_angle_alpha 90.00
_cell_angle_beta 90.00
_cell_angle_gamma 90.00
_space_group_name_H-M_alt 'P 4/m m m'
_space_group_IT_number 123
_space_group_name_Hall '-P 4 2'
loop_
_atom_site_label
_atom_site_type_symbol
_atom_site_fract_x
_atom_site_fract_y
_atom_site_fract_z
Ti1 Ti 0.0000 0.0000 0.0000
V1 V 0.0000 0.0000 0.5000
Cr1 Cr 0.5000 0.5000 0.0000
H1 H 0.0000 0.5000 0.5000
```

distance to the lowest polymorph of the same formula	0	meV per atom
DOS at the Fermi energy	3.17	states/eV per cell
total magnetic moment	0.00	μB/f.u.
density	4.58	Mg/m³

Entry 8:
TiVCr2H | PBE | relaxed

Structure (CIF):
```
data_TiVCr2H
_chemical_formula_sum 'Ti1 V1 Cr2 H1'
_cell_length_a 4.6302
_cell_length_b 4.6302
_cell_length_c 3.1556
_cell_angle_alpha 90.00
_cell_angle_beta 90.00
_cell_angle_gamma 90.00
_space_group_name_H-M_alt 'P 4/m m m'
_space_group_IT_number 123
_space_group_name_Hall '-P 4 2'
loop_
_atom_site_label
_atom_site_type_symbol
_atom_site_fract_x
_atom_site_fract_y
_atom_site_fract_z
Ti1 Ti 0.0000 0.0000 0.0000
V1 V 0.5000 0.5000 0.5000
Cr1 Cr 0.0000 0.5000 0.0000
H1 H 0.0000 0.0000 0.5000
```

DOS at the Fermi energy	4.33	states/eV per cell
total magnetic moment	3.03	μB/f.u.
density	5.00	Mg/m³
VASP energy	-0.2585	Ha/atom

Entry 9:
TiCrH2W | PBE | relaxed

Structure (CIF):
```
data_TiCrH2W
_chemical_formula_sum 'Ti1 Cr1 H2 W1'
_cell_length_a 3.4396
_cell_length_b 3.4396
_cell_length_c 4.8921
_cell_angle_alpha 90.00
_cell_angle_beta 90.00
_cell_angle_gamma 90.00
_space_group_name_H-M_alt 'P 4/m m m'
_space_group_IT_number 123
_space_group_name_Hall '-P 4 2'
loop_
_atom_site_label
_atom_site_type_symbol
_atom_site_fract_x
_atom_site_fract_y
_atom_site_fract_z
Ti1 Ti 0.0000 0.0000 0.0000
Cr1 Cr 0.0000 0.0000 0.5000
H1 H 0.0000 0.5000 0.0000
W1 W 0.5000 0.5000 0.5000
```

DOS at the Fermi energy	1.99	states/eV per cell
total magnetic moment	0.00	μB/f.u.
density	8.20	Mg/m³
VASP energy	-0.2465	Ha/atom

Entry 10:
Ti2CrHW | PBE | relaxed

Structure (CIF):
```
data_Ti2CrHW
_chemical_formula_sum 'Ti2 Cr1 H1 W1'
_cell_length_a 4.3368
_cell_length_b 4.3368
_cell_length_c 3.3108
_cell_angle_alpha 90.00
_cell_angle_beta 90.00
_cell_angle_gamma 90.00
_space_group_name_H-M_alt 'P 4/m m m'
_space_group_IT_number 123
_space_group_name_Hall '-P 4 2'
loop_
_atom_site_label
_atom_site_type_symbol
_atom_site_fract_x
_atom_site_fract_y
_atom_site_fract_z
Ti1 Ti 0.0000 0.5000 0.0000
Cr1 Cr 0.0000 0.0000 0.5000
H1 H 0.0000 0.0000 0.0000
W1 W 0.5000 0.5000 0.5000
```

DOS at the Fermi energy	6.66	states/eV per cell
total magnetic moment	0.00	μB/f.u.
density	8.87	Mg/m³
VASP energy	-0.3074	Ha/atom

Entry 11:
YTiCr2H | PBE | relaxed

Structure (CIF):
```
data_YTiCr2H
_chemical_formula_sum 'Y1 Ti1 Cr2 H1'
_cell_length_a 4.3875
_cell_length_b 4.3875
_cell_length_c 3.9106
_cell_angle_alpha 90.00
_cell_angle_beta 90.00
_cell_angle_gamma 90.00
_space_group_name_H-M_alt 'P 4/m m m'
_space_group_IT_number 123
_space_group_name_Hall '-P 4 2'
loop_
_atom_site_label
_atom_site_type_symbol
_atom_site_fract_x
_atom_site_fract_y
_atom_site_fract_z
Y1 Y 0.0000 0.0000 0.0000
Ti1 Ti 0.5000 0.5000 0.0000
Cr1 Cr 0.0000 0.5000 0.5000
H1 H 0.5000 0.5000 0.5000
```

DOS at the Fermi energy	4.49	states/eV per cell
total magnetic moment	4.77	μB/f.u.
density	5.33	Mg/m³
VASP energy	-0.2599	Ha/atom

Entry 12:
Zr2TiCrH | PBE | relaxed

Structure (CIF):
```
data_Zr2TiCrH
_chemical_formula_sum 'Zr2 Ti1 Cr1 H1'
_cell_length_a 4.6001
_cell_length_b 4.6001
_cell_length_c 3.7583
_cell_angle_alpha 90.00
_cell_angle_beta 90.00
_cell_angle_gamma 90.00
_space_group_name_H-M_alt 'P 4/m m m'
_space_group_IT_number 123
_space_group_name_Hall '-P 4 2'
loop_
_atom_site_label
_atom_site_type_symbol
_atom_site_fract_x
_atom_site_fract_y
_atom_site_fract_z
Zr1 Zr 0.0000 0.5000 0.0000
Ti1 Ti 0.0000 0.0000 0.5000
Cr1 Cr 0.5000 0.5000 0.5000
H1 H 0.0000 0.0000 0.0000
```

distance to the lowest polymorph of the same formula	0	meV per atom
DOS at the Fermi energy	6.41	states/eV per cell
total magnetic moment	1.86	μB/f.u.
density	5.92	Mg/m³

Entry 13:
Zr2TiCrH | PBE | relaxed

Structure (CIF):
```
data_Zr2TiCrH
_chemical_formula_sum 'Zr2 Ti1 Cr1 H1'
_cell_length_a 5.1217
_cell_length_b 5.1217
_cell_length_c 3.2145
_cell_angle_alpha 90.00
_cell_angle_beta 90.00
_cell_angle_gamma 90.00
_space_group_name_H-M_alt 'P 4/m m m'
_space_group_IT_number 123
_space_group_name_Hall '-P 4 2'
loop_
_atom_site_label
_atom_site_type_symbol
_atom_site_fract_x
_atom_site_fract_y
_atom_site_fract_z
Zr1 Zr 0.0000 0.5000 0.0000
Ti1 Ti 0.0000 0.0000 0.0000
Cr1 Cr 0.5000 0.5000 0.5000
H1 H 0.0000 0.0000 0.5000
```

distance to the lowest polymorph of the same formula	800	meV per atom
DOS at the Fermi energy	6.71	states/eV per cell
total magnetic moment	0.00	μB/f.u.
density	5.58	Mg/m³

Entry 14:
TlCrH3 | PBE | relaxed

Structure (CIF):
```
data_TlCrH3
_chemical_formula_sum 'Tl1 Cr1 H3'
_cell_length_a 4.0802
_cell_length_b 4.0802
_cell_length_c 4.0802
_cell_angle_alpha 90.00
_cell_angle_beta 90.00
_cell_angle_gamma 90.00
_space_group_name_H-M_alt 'P m -3 m'
_space_group_IT_number 221
_space_group_name_Hall '-P 4 2 3'
loop_
_atom_site_label
_atom_site_type_symbol
_atom_site_fract_x
_atom_site_fract_y
_atom_site_fract_z
Tl1 Tl 0.0000 0.0000 0.0000
Cr1 Cr 0.5000 0.5000 0.5000
H1 H 0.0000 0.0000 0.5000
```

distance to the lowest polymorph of the same formula	719	meV per atom
DOS at the Fermi energy	1.90	states/eV per cell
total magnetic moment	5.07	μB/f.u.
density	6.34	Mg/m³